(1)
Entry from Alexandria via LeMat-Bulk: TiTc3O after structural relaxation (GGA-PBEsol).

* spin magnetization: 0.00 Bohr magnetons per cell
* uncorrected formation energy: -0.265 eV/atom
* crystal system: cubic
* E above lowest polymorph: 0 meV/atom

a = 4.0124 Å, b = 4.0124 Å, c = 4.0124 Å
α = 90.00°, β = 90.00°, γ = 90.00°
With the nearest neighbours (Å) after each atom.
Atoms (fractional coordinates):
1 Ti 0.0000 0.0000 0.0000  12 Tc 2.84
2 Tc 0.0000 0.5000 0.5000  2 O 2.01
3 Tc 0.5000 0.0000 0.5000  2 O 2.01
4 Tc 0.5000 0.5000 0.0000  2 O 2.01
5 O 0.5000 0.5000 0.5000  6 Tc 2.01

(2)
Entry from Alexandria via LeMat-Bulk: SrMgO2 after structural relaxation (GGA-PBEsol).

* spin magnetization: 0.31 Bohr magnetons per cell
* uncorrected formation energy: -1.618 eV/atom
* crystal system: trigonal

a = 6.7376 Å, b = 6.7376 Å, c = 6.7376 Å
α = 29.18°, β = 29.18°, γ = 29.18°
With the nearest neighbours (Å) after each atom.
Atoms (fractional coordinates):
1 Sr 0.0000 0.0000 0.0000  2 O 2.20
2 Mg 0.5000 0.5000 0.5000  6 O 2.21
3 O 0.1138 0.1138 0.1138  1 Sr 2.20, 3 Mg 2.21
4 O 0.8862 0.8862 0.8862  1 Sr 2.20, 3 Mg 2.21

(3)
Entry from Alexandria via LeMat-Bulk: MgHPt2Au after structural relaxation (GGA-PBEsol).

* total energy: -24.675 eV for the cell shown
* spin magnetization: 0.00 Bohr magnetons per cell
* crystal system: tetragonal

a = 4.0111 Å, b = 4.0111 Å, c = 4.0624 Å
α = 90.00°, β = 90.00°, γ = 90.00°
With the nearest neighbours (Å) after each atom.
Atoms (fractional coordinates):
1 Mg 0.0000 0.0000 0.0000  4 Au 2.84, 8 Pt 2.85
2 H 0.5000 0.5000 0.5000  4 Pt 2.01, 2 Au 2.03
3 Pt 0.0000 0.5000 0.5000  2 H 2.01
4 Pt 0.5000 0.0000 0.5000  2 H 2.01
5 Au 0.5000 0.5000 0.0000  2 H 2.03